Version a
Compound: BiSb2RhI
Source: Alexandria
Functional: GGA-PBE
Structure: relaxed

a b c (Å): 5.803 5.803 5.937
angles (deg): 90.00 90.00 90.00
Element x y z (fractional)
Bi 0.000 0.000 0.000
Sb 0.000 0.500 0.000
Sb 0.500 0.000 0.000
Rh 0.500 0.500 0.500
I 0.000 0.000 0.500

- DOS(E_F) (states/eV/cell) = 11.19
- symmetry = P4/mmm
- crystal system = tetragonal

=====

Version b
Compound: BiSb2RhI
Source: Alexandria
Functional: GGA-PBE
Structure: relaxed

a b c (Å): 5.174 5.174 5.480
angles (deg): 90.00 90.00 90.00
Element x y z (fractional)
Bi 0.000 0.000 0.000
Sb 0.000 0.500 0.500
Sb 0.500 0.000 0.500
Rh 0.500 0.500 0.500
I 0.500 0.500 0.000

- DOS(E_F) (states/eV/cell) = 6.10
- symmetry = P4/mmm
- crystal system = tetragonal

=====

In meV per atom, relative to the most stable structure: version a 1106; version b 0.